(1)
Compound: CsTcTe
Source: OQMD via LeMat-Bulk
Functional: PBE-GGA
Structure: optimized geometry Values from VASP.

Computed properties:
space-group type: F-43m
magnetization: 4.10 μB/f.u.
E: -11.15 eV per formula unit
density: 4.95 g/cm3

```
&SYSTEM
  ibrav = 0, nat = 3, ntyp = 3
/
ATOMIC_SPECIES
Cs 132.91 Cs.upf
Te 127.60 Te.upf
Tc 98.00 Tc.upf
ATOMIC_POSITIONS angstrom
Cs -0.1970 -2.1294 2.6349
Te 0.0000 0.0000 0.0000
Tc -0.5910 -6.3882 7.9046
CELL_PARAMETERS angstrom
1.8487 -4.7835 2.0997
0.7572 -0.5183 5.4650
-3.3939 -3.2157 2.9748
```

---

(2)
Compound: BaCoAgSe3
Source: OQMD via LeMat-Bulk
Functional: PBE-GGA
Structure: optimized geometry Values from VASP.

Computed properties:
distance to the lowest polymorph of the same formula: 14.4 kJ per mole of atoms
space-group type: Cmcm
magnetization: 0.16 μB/f.u.
density: 6.34 g/cm3

```
&SYSTEM
  ibrav = 0, nat = 12, ntyp = 4
/
ATOMIC_SPECIES
Ag 107.87 Ag.upf
Se 78.96 Se.upf
Co 58.93 Co.upf
Ba 137.33 Ba.upf
ATOMIC_POSITIONS angstrom
Ag 1.9926 0.5708 7.6615
Se 1.9926 1.5994 10.0067
Se 1.9926 -1.5994 4.8990
Co 0.0000 0.0000 0.0000
Co 0.0000 0.0000 5.1077
Ba 1.9926 -3.6496 7.6615
Se 1.9926 5.8942 7.6615
Ag 1.9926 -0.5708 2.5538
Se 1.9926 -1.5994 0.2087
Se 1.9926 1.5994 5.3164
Se 1.9926 -5.8942 2.5538
Ba 1.9926 3.6496 2.5538
CELL_PARAMETERS angstrom
1.9926 -6.9634 0.0000
1.9926 6.9634 0.0000
0.0000 0.0000 10.2154
```

---

(3)
Compound: NdHoHg2Au4
Source: OQMD via LeMat-Bulk
Functional: PBE-GGA
Structure: optimized geometry Values from VASP.

Computed properties:
calculated formation energy: -0.590 eV per atom
space-group type: P4/mmm
magnetization: 0.01 μB/f.u.
density: 14.29 g/cm3

```
&SYSTEM
  ibrav = 0, nat = 8, ntyp = 4
/
ATOMIC_SPECIES
Ho 164.93 Ho.upf
Au 196.97 Au.upf
Hg 200.59 Hg.upf
Nd 144.24 Nd.upf
ATOMIC_POSITIONS angstrom
Ho 0.0000 0.0000 3.5173
Au 0.0000 2.4872 1.8372
Au 2.4872 0.0000 5.1974
Hg 0.0000 0.0000 0.0000
Au 2.4872 0.0000 1.8372
Nd 2.4872 2.4872 0.0000
Au 0.0000 2.4872 5.1974
Hg 2.4872 2.4872 3.5173
CELL_PARAMETERS angstrom
4.9745 0.0000 0.0000
0.0000 4.9745 0.0000
0.0000 0.0000 7.0347
```

---

(4)
Compound: KAuO
Source: OQMD via LeMat-Bulk
Functional: PBE-GGA
Structure: optimized geometry Values from VASP.

Computed properties:
space-group type: P2_1/c
E: -11.46 eV per formula unit
density: 6.80 g/cm3

```
&SYSTEM
  ibrav = 0, nat = 12, ntyp = 3
/
ATOMIC_SPECIES
K 39.10 K.upf
Au 196.97 Au.upf
O 16.00 O.upf
ATOMIC_POSITIONS angstrom
K -2.1391 -2.8409 -2.3337
K -1.8568 -3.9370 1.7358
K 1.1273 -5.0000 -3.0777
Au -4.5792 -3.6616 -0.3008
Au -1.3166 -5.8243 -1.0509
Au 0.5871 -3.1127 -0.2910
O 0.1827 -7.1943 -1.1556
O 2.3603 -3.8959 -0.9205
O -0.9123 -1.7427 -0.1863
O -3.0898 -5.0411 -0.4214
K 1.4095 -6.0961 0.9918
Au 3.8496 -5.2754 -1.0411
CELL_PARAMETERS angstrom
-4.6870 -2.1551 4.2426
-2.5675 -2.4562 -4.0841
6.5249 -4.3257 -1.5004
```

---

(5)
Compound: La3CdS
Source: OQMD via LeMat-Bulk
Functional: PBE-GGA
Structure: optimized geometry Values from VASP.

Computed properties:
space-group type: Imma
magnetization: 0.00 μB/f.u.
E: -23.96 eV per formula unit
density: 5.61 g/cm3

```
&SYSTEM
  ibrav = 0, nat = 10, ntyp = 3
/
ATOMIC_SPECIES
La 138.91 La.upf
S 32.06 S.upf
Cd 112.41 Cd.upf
ATOMIC_POSITIONS angstrom
La 1.9434 0.0194 1.9431
La -1.9434 5.4771 1.9431
S 3.8868 0.0000 0.0000
Cd 3.8868 -2.7483 3.8842
La 1.9434 5.5160 -1.9431
La 3.8868 2.7483 -0.0266
La 1.9434 5.4771 1.9431
S 0.0000 0.0000 3.8862
La 0.0000 2.7483 3.9128
Cd 0.0000 8.2448 0.0019
CELL_PARAMETERS angstrom
-3.8868 5.4966 3.8862
3.8868 -5.4966 3.8862
3.8868 5.4966 -3.8862
```

---

(6)
Compound: BaFeGe2
Source: OQMD via LeMat-Bulk
Functional: PBE-GGA
Structure: optimized geometry Values from VASP.

Computed properties:
space-group type: F-43m
magnetization: 2.55 μB/f.u.
E: -17.60 eV per formula unit
density: 6.24 g/cm3

```
&SYSTEM
  ibrav = 0, nat = 4, ntyp = 3
/
ATOMIC_SPECIES
Ge 72.64 Ge.upf
Ba 137.33 Ba.upf
Fe 55.84 Fe.upf
ATOMIC_POSITIONS angstrom
Ge -7.1355 -5.7084 1.3928
Ba -4.7570 -3.8056 0.9285
Fe -2.3785 -1.9028 0.4643
Ge 0.0000 0.0000 0.0000
CELL_PARAMETERS angstrom
-4.3230 -0.6402 2.4936
-3.8456 -2.3826 -2.2023
-1.3454 -4.5885 1.5658
```

---

(7)
Compound: Dy2Ho2CI2BrCl2
Source: OQMD via LeMat-Bulk
Functional: PBE-GGA
Structure: optimized geometry Values from VASP.

Computed properties:
distance to the lowest polymorph of the same formula: 0.0 kJ per mole of atoms
space-group type: C2/m
magnetization: 0.28 μB/f.u.
density: 6.47 g/cm3

```
&SYSTEM
  ibrav = 0, nat = 10, ntyp = 6
/
ATOMIC_SPECIES
Ho 164.93 Ho.upf
C 12.01 C.upf
I 126.90 I.upf
Dy 162.50 Dy.upf
Cl 35.45 Cl.upf
Br 79.90 Br.upf
ATOMIC_POSITIONS angstrom
Ho 11.2289 0.0000 0.4836
C 8.9033 0.0000 0.0000
Ho 4.9952 0.0000 7.5502
I 2.4687 0.0000 2.7932
I 13.7554 0.0000 5.2406
Dy 17.4340 0.0000 1.5974
Cl 1.6282 0.0000 6.7759
Cl 14.5959 0.0000 1.2579
Br 8.1120 0.0000 4.0169
Dy -1.2099 0.0000 6.4364
CELL_PARAMETERS angstrom
8.9033 -1.9211 0.0000
8.9033 1.9211 0.0000
-1.5824 0.0000 8.0338
```

---

(8)
Compound: Dy4BiOs
Source: OQMD via LeMat-Bulk
Functional: PBE-GGA
Structure: optimized geometry Values from VASP.

Computed properties:
space-group type: C2/c
magnetization: 0.01 μB/f.u.
E: -36.55 eV per formula unit
density: 10.15 g/cm3

```
&SYSTEM
  ibrav = 0, nat = 12, ntyp = 3
/
ATOMIC_SPECIES
Dy 162.50 Dy.upf
Bi 208.98 Bi.upf
Os 190.23 Os.upf
ATOMIC_POSITIONS angstrom
Dy 5.2974 4.4899 0.3726
Bi 2.6813 1.7203 4.2655
Dy 4.0966 -4.4899 3.2162
Dy 2.4667 4.4899 2.4711
Dy 2.1088 0.9473 0.8369
Dy 4.4545 -0.9473 4.8504
Os 3.8821 -6.7280 1.4218
Bi 3.8821 -1.7203 1.4218
Dy 1.2659 -4.4899 5.3148
Os 2.6813 6.7280 4.2655
Dy 5.6553 0.9473 2.0068
Dy 0.9080 -0.9473 3.6806
CELL_PARAMETERS angstrom
4.4824 -6.7351 0.0000
4.4824 6.7351 0.0000
-2.4016 0.0000 5.6874
```

---

(9)
Compound: HfFeBPd
Source: OQMD via LeMat-Bulk
Functional: PBE-GGA
Structure: optimized geometry Values from VASP.

Computed properties:
distance to the lowest polymorph of the same formula: 0.0 kJ per mole of atoms
space-group type: F-43m
magnetization: 2.46 μB/f.u.
density: 10.46 g/cm3

```
&SYSTEM
  ibrav = 0, nat = 4, ntyp = 4
/
ATOMIC_SPECIES
Pd 106.42 Pd.upf
B 10.81 B.upf
Fe 55.84 Fe.upf
Hf 178.49 Hf.upf
ATOMIC_POSITIONS angstrom
Pd -2.4058 -2.9005 3.6607
B 0.0000 0.0000 0.0000
Fe -3.6087 -4.3508 5.4911
Hf -1.2029 -1.4503 1.8303
CELL_PARAMETERS angstrom
0.0683 -1.2059 4.1161
-3.6803 -0.6240 2.1136
-1.1997 -3.9712 1.0917
```

---

(10)
Compound: GdErTm2In2
Source: OQMD via LeMat-Bulk
Functional: PBE-GGA
Structure: optimized geometry Values from VASP.

Computed properties:
space-group type: P-3m1
magnetization: 0.47 μB/f.u.
E: -25.73 eV per formula unit
density: 8.94 g/cm3

```
&SYSTEM
  ibrav = 0, nat = 6, ntyp = 4
/
ATOMIC_SPECIES
Tm 168.93 Tm.upf
Gd 157.25 Gd.upf
In 114.82 In.upf
Er 167.26 Er.upf
ATOMIC_POSITIONS angstrom
Tm -5.7796 0.6988 0.8078
Gd 0.0000 0.0000 0.0000
In -5.2424 1.6869 -2.0686
Tm -2.6508 -0.3742 -2.2854
In -3.1880 -1.3624 0.5910
Er -2.6120 2.0774 0.2185
CELL_PARAMETERS angstrom
-0.7900 -0.4387 -5.2726
-2.4164 -3.3915 3.3580
-5.2240 4.1547 0.4370
```

---

(11)
Compound: SmZnAu
Source: OQMD via LeMat-Bulk
Functional: PBE-GGA
Structure: optimized geometry Values from VASP.

Computed properties:
calculated formation energy: -0.368 eV per atom
space-group type: F-43m
magnetization: 0.13 μB/f.u.
density: 9.64 g/cm3

```
&SYSTEM
  ibrav = 0, nat = 3, ntyp = 3
/
ATOMIC_SPECIES
Au 196.97 Au.upf
Zn 65.41 Zn.upf
Sm 150.36 Sm.upf
ATOMIC_POSITIONS angstrom
Au 1.6440 1.6440 1.6440
Zn 0.0000 0.0000 0.0000
Sm 4.9320 4.9320 4.9320
CELL_PARAMETERS angstrom
0.0000 3.2880 3.2880
3.2880 0.0000 3.2880
3.2880 3.2880 0.0000
```

---

(12)
Compound: RbNbCl6
Source: OQMD via LeMat-Bulk
Functional: PBE-GGA
Structure: optimized geometry Values from VASP.

Computed properties:
space-group type: R-3
magnetization: 0.00 μB/f.u.
E: -33.66 eV per formula unit
density: 2.88 g/cm3

```
&SYSTEM
  ibrav = 0, nat = 8, ntyp = 3
/
ATOMIC_SPECIES
Cl 35.45 Cl.upf
Rb 85.47 Rb.upf
Nb 92.91 Nb.upf
ATOMIC_POSITIONS angstrom
Cl -1.2750 3.1429 1.0603
Cl 1.7869 2.2459 2.0953
Cl -0.0302 6.0626 -0.0922
Cl 0.4690 5.1858 3.1067
Cl 3.0318 5.1656 0.9427
Rb 0.0000 0.0000 0.0000
Nb 0.8784 4.1543 1.0015
Cl 1.2878 3.1227 -1.1036
CELL_PARAMETERS angstrom
-4.7018 4.0184 0.1246
2.5332 1.1885 5.5173
3.9255 3.1016 -3.6389
```

---

(13)
Compound: TcHO3
Source: OQMD via LeMat-Bulk
Functional: PBE-GGA
Structure: optimized geometry Values from VASP.

Computed properties:
space-group type: P2_1/c
magnetization: 0.00 μB/f.u.
E: -32.23 eV per formula unit
density: 4.09 g/cm3

```
&SYSTEM
  ibrav = 0, nat = 20, ntyp = 3
/
ATOMIC_SPECIES
O 16.00 O.upf
H 1.01 H.upf
Tc 98.00 Tc.upf
ATOMIC_POSITIONS angstrom
O 2.4612 5.4061 3.6472
O 2.3507 3.6654 6.3729
O 4.6521 4.7292 5.5791
O 3.2896 6.9843 1.5226
O -2.4431 4.5980 -0.1172
H 5.2944 7.0443 3.2453
Tc -2.7183 5.7241 1.1293
H 0.8736 3.3515 4.2026
O -0.2523 3.9211 1.8147
Tc 4.9273 3.6031 4.3326
O 1.2610 6.1666 5.8752
H 1.3354 5.9757 1.2593
Tc 1.6163 6.6120 2.7967
O -0.0299 6.4104 3.1800
O -1.0806 2.3429 3.9393
O -0.1418 5.6618 -0.9110
H -3.0855 2.2830 2.2166
O 0.9480 3.1607 -0.4133
Tc 0.5927 2.7153 2.6651
O 2.2389 2.9168 2.2819
CELL_PARAMETERS angstrom
-0.3619 4.6171 -3.0458
-3.5428 1.7047 3.0051
6.1136 3.0055 5.5026
```

---

(14)
Compound: Nd2Ho2CI2Br3
Source: OQMD via LeMat-Bulk
Functional: PBE-GGA
Structure: optimized geometry Values from VASP.

Computed properties:
distance to the lowest polymorph of the same formula: 0.7 kJ per mole of atoms
space-group type: C2/m
magnetization: 0.17 μB/f.u.
density: 6.13 g/cm3

```
&SYSTEM
  ibrav = 0, nat = 10, ntyp = 5
/
ATOMIC_SPECIES
Br 79.90 Br.upf
I 126.90 I.upf
Ho 164.93 Ho.upf
C 12.01 C.upf
Nd 144.24 Nd.upf
ATOMIC_POSITIONS angstrom
Br -7.5600 2.4126 5.0246
Br -0.5228 3.8974 6.0985
I -2.0556 1.5884 2.8036
Br -14.5972 0.9277 3.9508
Ho -11.2979 0.4623 2.6636
C -9.0935 0.1396 1.7855
Nd -17.5084 1.2059 4.8823
I -13.0644 3.2367 7.2456
Nd 2.3883 3.6193 5.1670
Ho -3.8222 4.3628 7.3857
CELL_PARAMETERS angstrom
-9.2783 1.7901 0.7148
-8.9086 -1.5109 2.8561
3.0669 4.5459 6.4783
```

---

(15)
Compound: K2AgBr2Cl2
Source: OQMD via LeMat-Bulk
Functional: PBE-GGA
Structure: optimized geometry Values from VASP.

Computed properties:
space-group type: Pmm2
E: -20.45 eV per formula unit
density: 3.01 g/cm3

```
&SYSTEM
  ibrav = 0, nat = 7, ntyp = 4
/
ATOMIC_SPECIES
Cl 35.45 Cl.upf
Br 79.90 Br.upf
K 39.10 K.upf
Ag 107.87 Ag.upf
ATOMIC_POSITIONS angstrom
Cl -1.9687 1.4498 0.4970
Br -6.1826 4.5550 1.5611
Cl -5.7268 0.8309 0.9054
K -3.9067 -0.0517 -1.6474
K -0.7847 3.8059 -1.4532
Ag -0.0005 0.0036 0.0006
Br -2.5906 5.1466 1.1707
CELL_PARAMETERS angstrom
-0.5602 0.6624 -4.1514
-7.1923 -1.1845 0.7816
-1.0479 7.2156 1.2927
```

---

(16)
Compound: AcHo2Cl2
Source: OQMD via LeMat-Bulk
Functional: PBE-GGA
Structure: optimized geometry Values from VASP.

Computed properties:
space-group type: Cmcm
magnetization: 0.14 μB/f.u.
E: -21.52 eV per formula unit
density: 6.69 g/cm3

```
&SYSTEM
  ibrav = 0, nat = 10, ntyp = 3
/
ATOMIC_SPECIES
Ho 164.93 Ho.upf
Ac 227.00 Ac.upf
Cl 35.45 Cl.upf
ATOMIC_POSITIONS angstrom
Ho 1.8638 2.8839 6.9485
Ac 1.8637 -1.6465 8.6097
Cl 1.8637 -5.7348 0.4208
Cl 1.8637 5.7348 11.0588
Ho 1.8638 -2.8839 4.5311
Ho 1.8638 -2.8839 1.2087
Cl 1.8637 -5.7348 5.3190
Cl 1.8637 5.7348 6.1606
Ac 1.8637 1.6465 2.8699
Ho 1.8638 2.8839 10.2709
CELL_PARAMETERS angstrom
1.8637 -7.2776 0.0000
1.8637 7.2776 0.0000
0.0000 0.0000 11.4796
```

---

(17)
Compound: PaRe4Si2
Source: OQMD via LeMat-Bulk
Functional: PBE-GGA
Structure: optimized geometry Values from VASP.

Computed properties:
space-group type: Cmmm
magnetization: 0.00 μB/f.u.
E: -73.29 eV per formula unit
density: 14.91 g/cm3

```
&SYSTEM
  ibrav = 0, nat = 7, ntyp = 3
/
ATOMIC_SPECIES
Re 186.21 Re.upf
Si 28.09 Si.upf
Pa 231.04 Pa.upf
ATOMIC_POSITIONS angstrom
Re 2.0611 4.3669 2.0202
Si 2.0611 -1.1836 2.0202
Re 2.0611 2.6592 0.0000
Si 2.0611 1.1836 2.0202
Re 2.0611 -2.6592 0.0000
Pa 0.0000 0.0000 0.0000
Re 2.0611 -4.3669 2.0202
CELL_PARAMETERS angstrom
2.0611 -6.9032 0.0000
2.0611 6.9032 0.0000
0.0000 0.0000 4.0403
```

---

(18)
Compound: Sm2Y2CBr2Cl3
Source: OQMD via LeMat-Bulk
Functional: PBE-GGA
Structure: optimized geometry Values from VASP.

Computed properties:
distance to the lowest polymorph of the same formula: 0.0 kJ per mole of atoms
space-group type: C2/m
magnetization: 0.03 μB/f.u.
density: 4.82 g/cm3

```
&SYSTEM
  ibrav = 0, nat = 10, ntyp = 5
/
ATOMIC_SPECIES
Y 88.91 Y.upf
Sm 150.36 Sm.upf
Br 79.90 Br.upf
Cl 35.45 Cl.upf
C 12.01 C.upf
ATOMIC_POSITIONS angstrom
Y -8.2372 -1.2625 -2.1029
Sm -5.2429 3.5258 0.0031
Sm -7.2780 -14.2206 -5.9189
Br -9.2407 -9.6833 -4.9208
Cl -6.2605 -5.3474 -2.9579
Cl -5.8637 -11.9008 -4.9062
Cl -6.6573 1.2060 -1.0097
Y -4.2838 -9.4323 -3.8130
Br -3.2803 -1.0116 -0.9951
C -2.9499 -7.6137 -2.9723
CELL_PARAMETERS angstrom
-2.5768 -7.0573 -4.7678
-3.3230 -8.1701 -1.1767
-6.6212 4.5326 0.0286
```

---

(19)
Compound: AcUBi
Source: OQMD via LeMat-Bulk
Functional: PBE-GGA
Structure: optimized geometry Values from VASP.

Computed properties:
space-group type: F-43m
magnetization: 5.43 μB/f.u.
E: -17.32 eV per formula unit
density: 9.79 g/cm3

```
&SYSTEM
  ibrav = 0, nat = 3, ntyp = 3
/
ATOMIC_SPECIES
Ac 227.00 Ac.upf
U 238.03 U.upf
Bi 208.98 Bi.upf
ATOMIC_POSITIONS angstrom
Ac 0.0000 0.0000 0.0000
U -1.8292 0.7351 2.6910
Bi -3.6585 1.4701 5.3820
CELL_PARAMETERS angstrom
-0.1493 -0.1169 5.4441
-2.4632 4.0097 2.7439
-4.7044 -0.9525 2.5759
```

---

(20)
Compound: La4Co3B6
Source: OQMD via LeMat-Bulk
Functional: PBE-GGA
Structure: optimized geometry Values from VASP.

Computed properties:
space-group type: R-3m
magnetization: 0.64 μB/f.u.
E: -84.84 eV per formula unit
density: 6.89 g/cm3

```
&SYSTEM
  ibrav = 0, nat = 13, ntyp = 3
/
ATOMIC_SPECIES
La 138.91 La.upf
B 10.81 B.upf
Co 58.93 Co.upf
ATOMIC_POSITIONS angstrom
La -5.3618 0.0000 5.9651
B -3.5725 -3.0921 3.8571
B -3.5725 -0.0036 3.8571
Co 0.0000 0.0000 0.0000
La -2.6809 -1.5478 5.9682
La 0.0000 -3.0956 1.7491
Co 0.0000 -3.0956 5.0459
B -1.7893 -3.0921 3.8571
B -0.8977 -1.5478 3.8571
B -1.7893 -0.0036 3.8571
B -4.4640 -1.5478 3.8571
La -2.6809 -1.5478 1.7461
Co -5.3618 0.0000 2.6684
CELL_PARAMETERS angstrom
-5.3618 0.0000 0.0000
2.6809 -4.6434 0.0000
-2.6809 1.5478 7.7142
```